## ZnPbSeO (PBE-GGA)

Data for a relaxed ZnPbSeO crystal.

Summary:
Polymorph energy (0 for the lowest one): 0 meV/atom
Total energy: -4.28 eV per atom
Mass density: 7.27 g/cm3

Unit cell a=6.146 b=9.177 c=5.958 alpha=90.00 beta=90.00 gamma=90.00
Atoms (fractional coordinates):
O 0.396 0.065 0.635
Zn 0.605 0.937 0.477
O 0.104 0.065 0.135
O 0.604 0.935 0.135
Se 0.511 0.323 0.067
Pb 0.989 0.674 0.572
Pb 0.011 0.326 0.072
Se 0.989 0.323 0.567
Pb 0.489 0.326 0.572
O 0.896 0.935 0.635
Zn 0.395 0.063 0.977
Zn 0.105 0.063 0.477
Zn 0.895 0.937 0.977
Se 0.489 0.677 0.567
Se 0.011 0.677 0.067
Pb 0.511 0.674 0.072

***

## ZnPbSeO (PBE-GGA)

Data for a relaxed ZnPbSeO crystal.

Summary:
Polymorph energy (0 for the lowest one): 259 meV/atom
Total energy: -4.02 eV per atom
Mass density: 7.21 g/cm3

Unit cell a=6.582 b=3.516 c=14.632 alpha=90.00 beta=90.00 gamma=90.00
Atoms (fractional coordinates):
Se 0.685 0.250 0.576
Se 0.185 0.250 0.924
Pb 0.109 0.250 0.303
O 0.294 0.250 0.130
Zn 0.303 0.250 0.579
Zn 0.697 0.750 0.421
Pb 0.391 0.750 0.803
O 0.706 0.750 0.870
O 0.206 0.750 0.630
Se 0.315 0.750 0.424
Zn 0.197 0.750 0.079
Zn 0.803 0.250 0.921
Pb 0.609 0.250 0.197
Pb 0.891 0.750 0.697
Se 0.815 0.750 0.076
O 0.794 0.250 0.370

***

## ZnPbSeO (PBE-GGA)

Data for a relaxed ZnPbSeO crystal.

Summary:
Polymorph energy (0 for the lowest one): 220 meV/atom
Total energy: -4.06 eV per atom
Mass density: 6.48 g/cm3

Unit cell a=3.839 b=3.839 c=12.794 alpha=90.00 beta=90.00 gamma=90.00
Atoms (fractional coordinates):
Se 0.000 0.500 0.385
Se 0.500 0.000 0.615
Zn 0.000 0.500 0.580
O 0.000 0.000 0.000
Zn 0.500 0.000 0.420
Pb 0.000 0.500 0.099
Pb 0.500 0.000 0.901
O 0.500 0.500 0.000

***

## ZnPbSeO (PBE-GGA)

Data for a relaxed ZnPbSeO crystal.

Summary:
Polymorph energy (0 for the lowest one): 351 meV/atom
Total energy: -3.92 eV per atom
Mass density: 8.44 g/cm3

Unit cell a=3.007 b=5.785 c=8.447 alpha=90.00 beta=79.74 gamma=90.00
Atoms (fractional coordinates):
O 0.000 0.500 0.000
Zn 0.458 0.750 0.083
O 0.000 0.000 0.000
Se 0.818 0.750 0.365
Pb 0.135 0.750 0.729
Zn 0.542 0.250 0.917
Pb 0.865 0.250 0.271
Se 0.182 0.250 0.635

***

## ZnPbSeO (PBE-GGA)

Data for a relaxed ZnPbSeO crystal.

Summary:
Polymorph energy (0 for the lowest one): 83 meV/atom
Total energy: -4.19 eV per atom
Mass density: 6.93 g/cm3

Unit cell a=6.885 b=6.983 c=7.388 alpha=83.01 beta=89.79 gamma=90.00
Atoms (fractional coordinates):
Zn 0.761 0.359 0.748
Pb 0.644 0.418 0.201
Se 0.586 0.627 0.584
Se 0.871 0.196 0.483
O 0.127 0.800 0.531
O 0.376 0.232 0.277
Se 0.085 0.386 0.906
Pb 0.782 0.913 0.936
Zn 0.342 0.159 0.030
O 0.878 0.783 0.211
Se 0.371 0.817 0.003
Zn 0.842 0.854 0.458
Zn 0.260 0.653 0.739
Pb 0.144 0.595 0.287
Pb 0.280 0.099 0.552
O 0.627 0.212 0.957

***

## ZnPbSeO (PBE-GGA)

Data for a relaxed ZnPbSeO crystal.

Summary:
Polymorph energy (0 for the lowest one): 103 meV/atom
Total energy: -4.17 eV per atom
Mass density: 6.74 g/cm3

Unit cell a=6.316 b=8.047 c=7.132 alpha=90.00 beta=90.00 gamma=90.00
Atoms (fractional coordinates):
Pb 0.841 0.376 0.885
Se 0.635 0.135 0.641
Zn 0.296 0.279 0.649
O 0.148 0.227 0.875
O 0.352 0.773 0.375
Zn 0.796 0.221 0.351
Pb 0.159 0.876 0.615
Pb 0.659 0.624 0.385
Se 0.365 0.635 0.859
Se 0.865 0.865 0.141
Se 0.135 0.365 0.359
Zn 0.704 0.779 0.851
O 0.648 0.273 0.125
Zn 0.204 0.721 0.149
O 0.852 0.727 0.625
Pb 0.341 0.124 0.115